TbNdSmDy | PBE | relaxed

Structure (extended XYZ):
```
4
Lattice="0.0000 4.0536 4.0536 4.0536 0.0000 4.0536 4.0536 4.0536 0.0000" Properties=species:S:1:pos:R:3 pbc="T T T"
Tb 0.0000 0.0000 0.0000
Nd 6.0804 6.0804 6.0804
Sm 2.0268 2.0268 2.0268
Dy 4.0536 4.0536 4.0536
```

Space group ... F-43m (216)
Magnetic moment ... 0.00 μB/f.u.
Crystal system ... cubic

=====

Sr2Hg2Pb | PBE | relaxed

Structure (extended XYZ):
```
5
Lattice="-2.1292 2.1292 9.5601 2.1292 -2.1292 9.5601 2.1292 2.1292 -9.5601" Properties=species:S:1:pos:R:3 pbc="T T T"
Sr 0.0000 0.0000 2.0167
Sr 0.0000 0.0000 17.1035
Hg 2.1292 0.0000 4.7801
Hg 0.0000 2.1292 4.7801
Pb 0.0000 0.0000 9.5601
```

Space group ... I4/mmm (139)
Magnetic moment ... 0.00 μB/f.u.
Crystal system ... tetragonal

=====

Ca3PuTh2P6 | PBE | relaxed

Structure (extended XYZ):
```
12
Lattice="3.5971 -6.2280 0.0000 3.5971 6.2280 0.0000 -2.3963 0.0000 6.7011" Properties=species:S:1:pos:R:3 pbc="T T T"
Ca 0.0000 0.0000 0.0000
Ca 3.5971 2.0866 0.0000
Ca 3.5971 -2.0866 0.0000
Pu 2.3989 0.0000 3.3505
Th 2.3989 4.1535 3.3505
Th 2.3989 -4.1535 3.3505
P 1.2272 2.0284 1.7712
P 0.0620 0.0000 4.9197
P 1.2272 -2.0284 1.7712
P 3.5707 2.0284 4.9298
P 4.7359 0.0000 1.7814
P 3.5707 -2.0284 4.9298
```

Space group ... C2/m (12)
Magnetic moment ... 4.00 μB/f.u.
Crystal system ... monoclinic

=====

| no. | formation energy from the elements (eV per atom) | N(E_F) (states/eV per atom) |
| --- | --- | --- |
| 1 | 0.13 | 2.16 |
| 2 | -0.37 | 0.85 |
| 3 | -1.27 | 1.09 |